Entry from Alexandria via LeMat-Bulk: a relaxed structure of Cs4CuSn3I12 (PBE-GGA).

a b c (Å): 10.5786 10.5786 10.5786
angles (deg): 109.47 109.47 109.47
Last column: nearest neighbours and their distance in Å.
Element x y z (fractional)
1 Sn 0.5000 0.5000 0.0000  6 I 3.05-3.17
2 Sn 0.5000 0.0000 0.5000  6 I 3.05-3.17
3 Sn 0.0000 0.5000 0.5000  6 I 3.05-3.17
4 Cs 0.0000 0.0000 0.5000  12 I 4.32
5 Cs 0.5000 0.5000 0.5000  12 I 4.32
6 Cs 0.0000 0.5000 0.0000  12 I 4.32
7 Cs 0.5000 0.0000 0.0000  12 I 4.32
8 I 0.7599 0.7599 0.0000  1 Cu 2.93, 1 Sn 3.17
9 I 0.2401 0.0000 0.2401  1 Cu 2.93, 1 Sn 3.17
10 I 0.7599 0.0000 0.7599  1 Cu 2.93, 1 Sn 3.17
11 I 0.5000 0.7500 0.2500  2 Sn 3.05
12 I 0.7500 0.5000 0.2500  2 Sn 3.05
13 I 0.7500 0.2500 0.5000  2 Sn 3.05
14 I 0.0000 0.7599 0.7599  1 Cu 2.93, 1 Sn 3.17
15 I 0.5000 0.2500 0.7500  2 Sn 3.05
16 I 0.2500 0.5000 0.7500  2 Sn 3.05
17 I 0.2500 0.7500 0.5000  2 Sn 3.05
18 I 0.2401 0.2401 0.0000  1 Cu 2.93, 1 Sn 3.17
19 I 0.0000 0.2401 0.2401  1 Cu 2.93, 1 Sn 3.17
20 Cu 0.0000 0.0000 0.0000  6 I 2.93

Crystal system: cubic
DFT total energy (eV for the cell shown): -55.16

Entry from Alexandria via LeMat-Bulk: a relaxed structure of BeTcP2 (PBE-GGA).

a b c (Å): 4.1213 4.1213 4.1213
angles (deg): 60.00 60.00 60.00
Last column: nearest neighbours and their distance in Å.
Element x y z (fractional)
1 P 0.7500 0.7500 0.7500  4 P 2.52, 4 Be 2.52
2 P 0.0000 0.0000 0.0000  4 Tc 2.52, 4 P 2.52
3 Be 0.5000 0.5000 0.5000  4 Tc 2.52, 4 P 2.52
4 Tc 0.2500 0.2500 0.2500  4 Be 2.52, 4 P 2.52

Crystal system: cubic
DFT total energy (eV for the cell shown): -23.25

Entry from Alexandria via LeMat-Bulk: a relaxed structure of PaPb2Au (PBE-GGA).

a b c (Å): 3.3318 3.3318 11.3086
angles (deg): 81.53 81.53 60.00
Last column: nearest neighbours and their distance in Å.
Element x y z (fractional)
1 Pb 0.9028 0.9028 0.2917  3 Au 3.01, 1 Pa 3.25, 6 Pb 3.33
2 Pb 0.0972 0.0972 0.7083  3 Au 3.01, 1 Pa 3.25, 6 Pb 3.33
3 Pa 0.0000 0.0000 0.0000  2 Pb 3.25, 6 Pa 3.33
4 Au 0.5000 0.5000 0.5000  6 Pb 3.01, 6 Au 3.33

Crystal system: trigonal
DFT total energy (eV for the cell shown): -19.03

Entry from Alexandria via LeMat-Bulk: a relaxed structure of CeNd4Tl4 (PBE-GGA).

a b c (Å): 6.4014 9.2343 9.2343
angles (deg): 90.00 90.00 90.00
Last column: nearest neighbours and their distance in Å.
Element x y z (fractional)
1 Tl 0.6131 0.9000 0.2083  1 Ce 3.27, 5 Nd 3.28-3.46, 3 Tl 3.35-3.37
2 Tl 0.3869 0.7917 0.9000  1 Ce 3.27, 5 Nd 3.28-3.46, 3 Tl 3.35-3.37
3 Tl 0.6131 0.1000 0.7917  1 Ce 3.27, 5 Nd 3.28-3.46, 3 Tl 3.35-3.37
4 Tl 0.3869 0.2083 0.1000  1 Ce 3.27, 5 Nd 3.28-3.46, 3 Tl 3.35-3.37
5 Tl 0.1131 0.7083 0.6000  1 Ce 3.27, 5 Nd 3.28-3.46, 3 Tl 3.35-3.37
6 Tl 0.8869 0.4000 0.7083  1 Ce 3.27, 5 Nd 3.28-3.46, 3 Tl 3.35-3.37
7 Tl 0.8869 0.6000 0.2917  1 Ce 3.27, 5 Nd 3.28-3.46, 3 Tl 3.35-3.37
8 Tl 0.1131 0.2917 0.4000  1 Ce 3.27, 5 Nd 3.28-3.46, 3 Tl 3.35-3.37
9 Ce 0.0000 0.0000 0.0000  4 Nd 3.15, 4 Tl 3.27
10 Ce 0.5000 0.5000 0.5000  4 Nd 3.15, 4 Tl 3.27
11 Nd 0.1254 0.0699 0.6771  1 Ce 3.15, 5 Tl 3.28-3.46, 1 Nd 3.52
12 Nd 0.6254 0.8229 0.5699  1 Ce 3.15, 5 Tl 3.28-3.46, 1 Nd 3.52
13 Nd 0.6254 0.1771 0.4301  1 Ce 3.15, 5 Tl 3.28-3.46, 1 Nd 3.52
14 Nd 0.3746 0.4301 0.8229  1 Ce 3.15, 5 Tl 3.28-3.46, 1 Nd 3.52
15 Nd 0.3746 0.5699 0.1771  1 Ce 3.15, 5 Tl 3.28-3.46, 1 Nd 3.52
16 Nd 0.8746 0.6771 0.9301  1 Ce 3.15, 5 Tl 3.28-3.46, 1 Nd 3.52
17 Nd 0.8746 0.3229 0.0699  1 Ce 3.15, 5 Tl 3.28-3.46, 1 Nd 3.52
18 Nd 0.1254 0.9301 0.3229  1 Ce 3.15, 5 Tl 3.28-3.46, 1 Nd 3.52

Crystal system: tetragonal
DFT total energy (eV for the cell shown): -72.04

Entry from Alexandria via LeMat-Bulk: a relaxed structure of Si2Mo2I (PBE-GGA).

a b c (Å): 5.1544 5.1544 4.9333
angles (deg): 90.00 90.00 90.00
Last column: nearest neighbours and their distance in Å.
Element x y z (fractional)
1 Mo 0.5000 0.5000 0.5000  8 Si 3.57, 4 Mo 3.64
2 Mo 0.0000 0.0000 0.5000  2 I 2.47
3 I 0.0000 0.0000 0.0000  2 Mo 2.47, 4 Si 2.58
4 Si 0.0000 0.5000 0.0000  2 I 2.58
5 Si 0.5000 0.0000 0.0000  2 I 2.58

Crystal system: tetragonal
DFT total energy (eV for the cell shown): -21.56

Entry from Alexandria via LeMat-Bulk: a relaxed structure of Ce3Pr4NdSe8 (PBE-GGA).

a b c (Å): 8.4737 8.4807 8.4723
angles (deg): 119.96 120.01 90.00
Last column: nearest neighbours and their distance in Å.
Element x y z (fractional)
1 Se 0.7472 0.7453 0.9962  2 Ce 2.97-2.98, 1 Nd 2.99, 3 Pr 3.01-3.02
2 Se 0.7510 0.2547 0.0038  2 Ce 2.97-2.98, 1 Nd 2.99, 3 Pr 3.01-3.02
3 Se 0.2517 0.2550 0.5034  3 Ce 2.98, 3 Pr 3.02
4 Se 0.2490 0.7453 0.9962  2 Ce 2.97-2.98, 1 Nd 2.99, 3 Pr 3.01-3.02
5 Se 0.7509 0.2547 0.5018  2 Ce 2.97, 1 Nd 2.99, 3 Pr 3.01-3.02
6 Se 0.7483 0.7450 0.4966  3 Ce 2.98, 3 Pr 3.02
7 Se 0.2528 0.2547 0.0038  2 Ce 2.97-2.98, 1 Nd 2.99, 3 Pr 3.01-3.02
8 Se 0.2491 0.7453 0.4982  2 Ce 2.97, 1 Nd 2.99, 3 Pr 3.01-3.02
9 Nd 0.0000 0.5000 0.0000  6 Se 2.99
10 Pr 0.0000 0.0000 0.0000  6 Se 3.02
11 Pr 0.0000 0.0000 0.5000  6 Se 3.02
12 Pr 0.5000 0.0000 0.5000  6 Se 3.02
13 Pr 0.5000 0.0000 0.0000  6 Se 3.01
14 Ce 0.0000 0.5000 0.5000  6 Se 2.97-2.98
15 Ce 0.5000 0.5000 0.5000  6 Se 2.97-2.98
16 Ce 0.5000 0.5000 0.0000  6 Se 2.98

Crystal system: trigonal
DFT total energy (eV for the cell shown): -99.02